# 1
A plane-wave DFT calculation with PBE was carried out for a relaxed SbH2Pd8 crystal.

Results
E = -4.80 eV per atom
space group = No. 12
D(E_F) = 0.6455 states/eV/atom
calculated density = 10316 kg/m3

abc: 6.3678 6.3678 4.3609
angles: 98.57 98.57 112.82
Fractional positions:
1 Sb 0.0000 0.0000 0.0000
2 H 0.2371 0.7629 0.5000
3 H 0.7629 0.2371 0.5000
4 Pd 0.0764 0.3354 0.5912
5 Pd 0.2492 0.7508 0.0000
6 Pd 0.3354 0.0764 0.5912
7 Pd 0.3893 0.3893 0.1952
8 Pd 0.6107 0.6107 0.8048
9 Pd 0.6646 0.9236 0.4088
10 Pd 0.7508 0.2492 0.0000
11 Pd 0.9236 0.6646 0.4088

# 2
A plane-wave DFT calculation with PBE was carried out for a relaxed La8Ge3CI3 crystal.

Results
space group = No. 166
D(E_F) = 0.8240 states/eV/atom
calculated density = 5528 kg/m3
formation energy (no corrections) = -12.5 eV per formula unit

abc: 9.3633 9.3633 9.3633
angles: 55.31 55.31 55.31
Fractional positions:
1 La 0.2346 0.2346 0.2346
2 La 0.2639 0.7115 0.7115
3 La 0.2885 0.2885 0.7361
4 La 0.2885 0.7361 0.2885
5 La 0.7115 0.2639 0.7115
6 La 0.7115 0.7115 0.2639
7 La 0.7361 0.2885 0.2885
8 La 0.7654 0.7654 0.7654
9 Ge 0.0000 0.0000 0.5000
10 Ge 0.0000 0.5000 0.0000
11 Ge 0.5000 0.0000 0.0000
12 C 0.5000 0.5000 0.5000
13 I 0.0000 0.5000 0.5000
14 I 0.5000 0.0000 0.5000
15 I 0.5000 0.5000 0.0000

# 3
A plane-wave DFT calculation with PBE was carried out for a relaxed Pu3CuPd12 crystal.

Results
space group = No. 123
ΔE_f = -205 meV per atom
D(E_F) = 2.5352 states/eV/atom
calculated density = 12683 kg/m3

abc: 4.1182 4.1182 16.0000
angles: 90.00 90.00 90.00
Fractional positions:
1 Pu 0.0000 0.0000 0.0000
2 Pu 0.0000 0.0000 0.2633
3 Pu 0.0000 0.0000 0.7367
4 Cu 0.0000 0.0000 0.5000
5 Pd 0.0000 0.5000 0.1336
6 Pd 0.0000 0.5000 0.3835
7 Pd 0.0000 0.5000 0.6165
8 Pd 0.0000 0.5000 0.8664
9 Pd 0.5000 0.0000 0.1336
10 Pd 0.5000 0.0000 0.3835
11 Pd 0.5000 0.0000 0.6165
12 Pd 0.5000 0.0000 0.8664
13 Pd 0.5000 0.5000 0.0000
14 Pd 0.5000 0.5000 0.2579
15 Pd 0.5000 0.5000 0.5000
16 Pd 0.5000 0.5000 0.7421

# 4
A plane-wave DFT calculation with PBE was carried out for a relaxed TlOs2Pt crystal.

Results
space group = No. 139
ΔE_f = 802 meV per atom
D(E_F) = 0.9342 states/eV/atom
calculated density = 19813 kg/m3
energy relative to the lowest polymorph listed for this composition = 0.4152 eV/atom

abc: 4.8742 4.8742 4.8742
angles: 130.53 130.53 72.55
Fractional positions:
1 Tl 0.0000 0.0000 0.0000
2 Os 0.2500 0.7500 0.5000
3 Os 0.7500 0.2500 0.5000
4 Pt 0.5000 0.5000 0.0000

Number 1: total magnetic moment 0.000 μB per atom. Number 2: total magnetic moment 0.070 μB per atom. Number 3: total magnetic moment 0.292 μB per atom. Number 4: total magnetic moment 0.000 μB per atom.